Arrangement P

A geometry-optimized AgHPd2 structure. Source: the Alexandria database, functional PBE.

The structure in POSCAR format:
```
AgHPd2
1.0
-3.0327 3.0327 2.9437
3.0327 -3.0327 2.9437
3.0327 3.0327 -2.9437
Ag H Pd
2 2 4
Direct
0.0000 0.0000 0.0000
0.7500 0.2500 0.5000
0.2500 0.7500 0.5000
0.5000 0.5000 0.0000
0.2460 0.6250 0.1210
0.3750 0.4960 0.6210
0.5040 0.1250 0.8790
0.8750 0.7540 0.3790
```

Volume (Å³ per atom): 13.537
Size of the total moment (μB/cell): 0.00
Space group: I-42d (122)

Arrangement Q

A geometry-optimized AgHPd2 structure. Source: the Alexandria database, functional PBE.

The structure in POSCAR format:
```
AgHPd2
1.0
4.2862 -2.5143 0.0000
4.2862 2.5143 0.0000
-3.0265 0.0000 4.7892
Ag H Pd
2 2 4
Direct
0.0915 0.9085 0.5000
0.9085 0.0915 0.0000
0.1612 0.5511 0.7188
0.5511 0.1612 0.2188
0.2412 0.4239 0.0023
0.4239 0.2412 0.5023
0.5786 0.7504 0.9988
0.7504 0.5786 0.4988
```

Volume (Å³ per atom): 12.903
Size of the total moment (μB/cell): 0.00
Space group: Cc (9)

Tell me which of them is the least stable. Sure, it is arrangement P.

Arrangement P

A geometry-optimized Ag2HPd2 structure. Source: the Alexandria database, functional PBE.

The structure in POSCAR format:
```
Ag2HPd2
1.0
5.4148 0.0000 0.0000
0.0000 5.4148 0.0000
0.0000 0.0000 4.9550
Ag H Pd
4 2 4
Direct
0.1744 0.3256 0.0000
0.3256 0.8256 0.0000
0.6744 0.1744 0.0000
0.8256 0.6744 0.0000
0.0000 0.0000 0.5000
0.5000 0.5000 0.5000
0.1782 0.6782 0.5000
0.3218 0.1782 0.5000
0.6782 0.8218 0.5000
0.8218 0.3218 0.5000
```

Volume (Å³ per atom): 14.528
Size of the total moment (μB/cell): 0.00
Space group: P4/mbm (127)

Arrangement Q

A geometry-optimized Ag2HPd2 structure. Source: the Alexandria database, functional PBE.

The structure in POSCAR format:
```
Ag2HPd2
1.0
4.0170 0.0000 0.0000
0.0000 4.0170 0.0000
0.0000 0.0000 4.2541
Ag H Pd
2 1 2
Direct
0.0000 0.0000 0.0000
0.5000 0.5000 0.0000
0.0000 0.0000 0.5000
0.0000 0.5000 0.5000
0.5000 0.0000 0.5000
```

Volume (Å³ per atom): 13.729
Size of the total moment (μB/cell): 0.00
Space group: P4/mmm (123)

Arrangement R

A geometry-optimized Ag2HPd2 structure. Source: the Alexandria database, functional PBE.

The structure in POSCAR format:
```
Ag2HPd2
1.0
5.4369 0.0000 0.0000
0.0000 5.4369 0.0000
0.0000 0.0000 4.9408
Ag H Pd
4 2 4
Direct
0.1773 0.3227 0.0000
0.3227 0.8227 0.0000
0.6773 0.1773 0.0000
0.8227 0.6773 0.0000
0.0000 0.0000 0.0000
0.5000 0.5000 0.0000
0.1726 0.6726 0.5000
0.3274 0.1726 0.5000
0.6726 0.8274 0.5000
0.8274 0.3274 0.5000
```

Volume (Å³ per atom): 14.605
Size of the total moment (μB/cell): 0.00
Space group: P4/mbm (127)

Arrangement S

A geometry-optimized Ag2HPd2 structure. Source: the Alexandria database, functional PBE.

The structure in POSCAR format:
```
Ag2HPd2
1.0
4.9169 -2.9331 0.0000
4.9169 2.9331 0.0000
-1.1685 0.0000 4.7990
Ag H Pd
4 2 4
Direct
0.0054 0.2512 0.0176
0.2512 0.0054 0.5176
0.7488 0.9946 0.4824
0.9946 0.7488 0.9824
0.4690 0.5310 0.2500
0.5310 0.4690 0.7500
0.2467 0.5012 0.4863
0.4988 0.7533 0.0137
0.5012 0.2467 0.9863
0.7533 0.4988 0.5137
```

Volume (Å³ per atom): 13.842
Size of the total moment (μB/cell): 0.00
Space group: C2/c (15)

Tell me which of them is the least stable. Sure, it is arrangement R.

Arrangement P

A geometry-optimized AgH2Pd3 structure. Source: the Alexandria database, functional PBE.

The structure in POSCAR format:
```
AgH2Pd3
1.0
2.8372 -4.2783 0.0000
2.8372 4.2783 0.0000
0.0000 0.0000 2.8416
Ag H Pd
1 2 3
Direct
0.0000 0.0000 0.0000
0.2848 0.7152 0.0000
0.7152 0.2848 0.0000
0.0000 0.5000 0.5000
0.5000 0.0000 0.5000
0.5000 0.5000 0.0000
```

Volume (Å³ per atom): 11.497
Size of the total moment (μB/cell): 0.00
Space group: Cmmm (65)

Arrangement Q

A geometry-optimized AgH2Pd3 structure. Source: the Alexandria database, functional PBE.

The structure in POSCAR format:
```
AgH2Pd3
1.0
4.0724 -4.0836 0.0000
4.0724 4.0836 0.0000
0.0000 0.0000 4.2650
Ag H Pd
2 4 6
Direct
0.1258 0.8742 0.7500
0.8742 0.1258 0.2500
0.3555 0.3555 0.0000
0.3555 0.3555 0.5000
0.6445 0.6445 0.0000
0.6445 0.6445 0.5000
0.1089 0.3745 0.7500
0.3733 0.6267 0.2500
0.3745 0.1089 0.2500
0.6255 0.8911 0.7500
0.6267 0.3733 0.7500
0.8911 0.6255 0.2500
```

Volume (Å³ per atom): 11.821
Size of the total moment (μB/cell): 0.00
Space group: Cmcm (63)

Tell me which of them is the least stable. Sure, it is arrangement Q.

Arrangement P

A geometry-optimized Ag2H3Pd5 structure. Source: the Alexandria database, functional PBE.

The structure in POSCAR format:
```
Ag2H3Pd5
1.0
4.8529 -4.6814 0.0000
4.8529 4.6814 0.0000
-0.3302 0.0000 5.6897
Ag H Pd
4 6 10
Direct
0.1139 0.6373 0.8761
0.3627 0.8861 0.6239
0.6373 0.1139 0.3761
0.8861 0.3627 0.1239
0.1255 0.8745 0.2500
0.3152 0.4525 0.4895
0.4525 0.3152 0.9895
0.5475 0.6848 0.0105
0.6848 0.5475 0.5105
0.8745 0.1255 0.7500
0.1133 0.6383 0.3754
0.2202 0.2206 0.3933
0.2206 0.2202 0.8933
0.3617 0.8867 0.1246
0.4972 0.5028 0.7500
0.5028 0.4972 0.2500
0.6383 0.1133 0.8754
0.7794 0.7798 0.1067
0.7798 0.7794 0.6067
0.8867 0.3617 0.6246
```

Volume (Å³ per atom): 12.926
Size of the total moment (μB/cell): 0.00
Space group: C2/c (15)

Arrangement Q

A geometry-optimized Ag2H3Pd5 structure. Source: the Alexandria database, functional PBE.

The structure in POSCAR format:
```
Ag2H3Pd5
1.0
-3.5640 6.2198 2.7717
3.5640 -6.2198 2.7717
3.5640 6.2198 -2.7717
Ag H Pd
4 6 10
Direct
0.1286 0.2200 0.3486
0.3714 0.7200 0.0915
0.6286 0.2800 0.9085
0.8714 0.7800 0.6514
0.1349 0.5883 0.7231
0.2500 0.2500 0.0000
0.3651 0.0883 0.4534
0.6349 0.9117 0.5466
0.7500 0.7500 0.0000
0.8651 0.4117 0.2769
0.0249 0.7500 0.2749
0.0862 0.8424 0.9286
0.2500 0.7500 0.5000
0.4138 0.3424 0.7561
0.4751 0.7500 0.7251
0.5249 0.2500 0.2749
0.5862 0.6576 0.2439
0.7500 0.2500 0.5000
0.9138 0.1576 0.0714
0.9751 0.2500 0.7251
```

Volume (Å³ per atom): 12.288
Size of the total moment (μB/cell): 0.00
Space group: Ibam (72)

Tell me which of them is the least stable. Sure, it is arrangement Q.